[1]
A plane-wave DFT calculation with PBE was carried out for RbNaSb after structural relaxation.

a b c (Å): 6.0550 6.0550 9.0904
angles (deg): 90.00 90.00 120.00
Last column: nearest neighbours and their distance in Å.
Positions (direct):
Rb: 0.0000 0.0000 0.2505  3 Sb 3.59
Rb: 0.0000 0.0000 0.7495  3 Sb 3.59
Na: 0.3333 0.6667 0.0000  2 Sb 3.09
Na: 0.6667 0.3333 0.5000  6 Sb 3.79, 6 Rb 4.17
Sb: 0.3333 0.6667 0.3394  1 Sb 2.92, 1 Na 3.09
Sb: 0.3333 0.6667 0.6606  1 Sb 2.92, 1 Na 3.09

Summary:
* uncorrected formation energy: -146 meV per atom
* crystal system: hexagonal
* calculated density: 2.65 g/cm3
* total moment: 0.27 μB per formula unit

[2]
A plane-wave DFT calculation with PBE was carried out for Cd3As2Pd7 after structural relaxation.

a b c (Å): 4.8582 4.8589 8.9946
angles (deg): 94.45 94.62 104.94
Last column: nearest neighbours and their distance in Å.
Positions (direct):
Cd: 0.0000 0.0000 0.0000  10 Pd 2.90-2.97, 2 Cd 3.19
Cd: 0.0853 0.0851 0.3572  8 Pd 2.81-2.99, 1 Cd 2.88, 2 As 2.99-3.11
Cd: 0.9147 0.9149 0.6428  8 Pd 2.81-2.99, 1 Cd 2.88, 2 As 2.99-3.11
As: 0.4415 0.4416 0.7239  7 Pd 2.46-2.60
As: 0.5585 0.5584 0.2761  7 Pd 2.46-2.60
Pd: 0.0334 0.5439 0.1847  2 As 2.53-2.60
Pd: 0.3120 0.6852 0.4996  2 As 2.53-2.54, 2 Cd 2.81
Pd: 0.4563 0.9659 0.8149  2 As 2.53-2.60
Pd: 0.5000 0.5000 0.0000  2 As 2.46
Pd: 0.5437 0.0341 0.1851  2 As 2.53-2.60
Pd: 0.6880 0.3148 0.5004  2 As 2.53-2.54, 2 Cd 2.81
Pd: 0.9666 0.4561 0.8153  2 As 2.53-2.60

Summary:
* energy relative to the elements: -0.375 eV/atom
* crystal system: triclinic
* calculated density: 10.06 g/cm3
* total moment: 0.00 μB per formula unit

[3]
A plane-wave DFT calculation with PBE was carried out for Tl3Hg2Te4 after structural relaxation.

a b c (Å): 4.6755 8.1025 9.1876
angles (deg): 111.58 102.24 91.86
Last column: nearest neighbours and their distance in Å.
Positions (direct):
Tl: 0.0000 0.0000 0.0000  6 Te 3.23-3.58
Tl: 0.1698 0.5399 0.2704  6 Te 3.34-3.63
Tl: 0.8302 0.4601 0.7296  6 Te 3.34-3.63
Hg: 0.3381 0.0257 0.6768  4 Te 2.87-3.08
Hg: 0.6619 0.9743 0.3232  4 Te 2.87-3.08
Te: 0.2123 0.2043 0.4298  3 Hg 2.89-3.08
Te: 0.4318 0.6992 0.0090  1 Hg 2.87
Te: 0.5682 0.3008 0.9910  1 Hg 2.87
Te: 0.7877 0.7957 0.5702  3 Hg 2.89-3.08

Summary:
* uncorrected formation energy: -183 meV per atom
* crystal system: triclinic
* calculated density: 8.06 g/cm3
* total moment: 0.00 μB per formula unit

[4]
A plane-wave DFT calculation with PBE was carried out for CsNa2NiIr after structural relaxation.

a b c (Å): 5.4239 5.4239 4.6337
angles (deg): 90.00 90.00 90.00
Last column: nearest neighbours and their distance in Å.
Positions (direct):
Cs: 0.0000 0.0000 0.0000  8 Na 3.57, 4 Ir 3.84
Na: 0.0000 0.5000 0.5000  2 Ni 2.71
Na: 0.5000 0.0000 0.5000  2 Ni 2.71
Ni: 0.5000 0.5000 0.5000  2 Ir 2.32
Ir: 0.5000 0.5000 0.0000  2 Ni 2.32

Summary:
* energy relative to the elements: 0.533 eV/atom
* crystal system: tetragonal
* calculated density: 5.24 g/cm3
* total moment: 0.00 μB per formula unit

[5]
A plane-wave DFT calculation with PBE was carried out for Cd3In5Bi12 after structural relaxation.

a b c (Å): 15.9158 15.9158 15.9158
angles (deg): 109.47 109.47 109.47
Last column: nearest neighbours and their distance in Å.
Positions (direct):
Cd: 0.1250 0.2500 0.3750  4 Bi 3.01
Cd: 0.1250 0.3750 0.7500  4 Bi 3.01
Cd: 0.2500 0.3750 0.1250  4 Bi 3.01
Cd: 0.2500 0.8750 0.6250  4 Bi 3.01
Cd: 0.3750 0.1250 0.2500  4 Bi 3.01
Cd: 0.3750 0.7500 0.1250  4 Bi 3.01
Cd: 0.6250 0.2500 0.8750  4 Bi 3.01
Cd: 0.6250 0.8750 0.7500  4 Bi 3.01
Cd: 0.7500 0.1250 0.3750  4 Bi 3.01
Cd: 0.7500 0.6250 0.8750  4 Bi 3.01
Cd: 0.8750 0.6250 0.2500  4 Bi 3.01
Cd: 0.8750 0.7500 0.6250  4 Bi 3.01
In: 0.0000 0.0000 0.0000  6 Bi 3.20
In: 0.0000 0.0000 0.5000  6 Bi 3.20
In: 0.0000 0.5000 0.0000  6 Bi 3.20
In: 0.0000 0.5000 0.5000  6 Bi 3.20
In: 0.1250 0.7500 0.8750  4 Bi 3.01
In: 0.1250 0.8750 0.2500  4 Bi 3.01
In: 0.2500 0.1250 0.8750  4 Bi 3.01
In: 0.2500 0.6250 0.3750  4 Bi 3.01
In: 0.3750 0.2500 0.6250  4 Bi 3.01
In: 0.3750 0.6250 0.7500  4 Bi 3.01
In: 0.5000 0.0000 0.0000  6 Bi 3.20
In: 0.5000 0.0000 0.5000  6 Bi 3.20
In: 0.5000 0.5000 0.0000  6 Bi 3.20
In: 0.5000 0.5000 0.5000  6 Bi 3.20
In: 0.6250 0.3750 0.2500  4 Bi 3.01
In: 0.6250 0.7500 0.3750  4 Bi 3.01
In: 0.7500 0.3750 0.6250  4 Bi 3.01
In: 0.7500 0.8750 0.1250  4 Bi 3.01
In: 0.8750 0.1250 0.7500  4 Bi 3.01
In: 0.8750 0.2500 0.1250  4 Bi 3.01
Bi: 0.0605 0.2239 0.1634  2 In 3.01-3.20, 1 Cd 3.01, 1 Bi 3.27
Bi: 0.0605 0.3366 0.8971  2 In 3.01-3.20, 1 Cd 3.01, 1 Bi 3.27
Bi: 0.0605 0.7239 0.6634  2 In 3.01-3.20, 1 Cd 3.01, 1 Bi 3.27
Bi: 0.0605 0.8366 0.3971  2 In 3.01-3.20, 1 Cd 3.01, 1 Bi 3.27
Bi: 0.1029 0.6634 0.4395  2 In 3.01-3.20, 1 Cd 3.01, 1 Bi 3.27
Bi: 0.1029 0.9395 0.6634  2 In 3.01-3.20, 1 Cd 3.01, 1 Bi 3.27
Bi: 0.1634 0.0605 0.2239  2 In 3.01-3.20, 1 Cd 3.01, 1 Bi 3.27
Bi: 0.1634 0.2239 0.5605  2 In 3.01-3.20, 1 Cd 3.01, 1 Bi 3.27
Bi: 0.1634 0.4395 0.6029  2 In 3.01-3.20, 1 Cd 3.01, 1 Bi 3.27
Bi: 0.1634 0.6029 0.9395  2 In 3.01-3.20, 1 Cd 3.01, 1 Bi 3.27
Bi: 0.2239 0.1634 0.0605  2 In 3.01-3.20, 1 Cd 3.01, 1 Bi 3.27
Bi: 0.2239 0.5605 0.1634  2 In 3.01-3.20, 1 Cd 3.01, 1 Bi 3.27
Bi: 0.2761 0.3366 0.9395  2 In 3.01-3.20, 1 Cd 3.01, 1 Bi 3.27
Bi: 0.2761 0.4395 0.3366  2 In 3.01-3.20, 1 Cd 3.01, 1 Bi 3.27
Bi: 0.3366 0.2761 0.4395  2 In 3.01-3.20, 1 Cd 3.01, 1 Bi 3.27
Bi: 0.3366 0.5605 0.8971  2 In 3.01-3.20, 1 Cd 3.01, 1 Bi 3.27
Bi: 0.3366 0.8971 0.0605  2 In 3.01-3.20, 1 Cd 3.01, 1 Bi 3.27
Bi: 0.3366 0.9395 0.2761  2 In 3.01-3.20, 1 Cd 3.01, 1 Bi 3.27
Bi: 0.3971 0.0605 0.8366  2 In 3.01-3.20, 1 Cd 3.01, 1 Bi 3.27
Bi: 0.3971 0.8366 0.5605  2 In 3.01-3.20, 1 Cd 3.01, 1 Bi 3.27
Bi: 0.4395 0.1029 0.6634  2 In 3.01-3.20, 1 Cd 3.01, 1 Bi 3.27
Bi: 0.4395 0.8366 0.7761  2 In 3.01-3.20, 1 Cd 3.01, 1 Bi 3.27
Bi: 0.4395 0.3366 0.2761  2 In 3.01-3.20, 1 Cd 3.01, 1 Bi 3.27
Bi: 0.4395 0.6029 0.1634  2 In 3.01-3.20, 1 Cd 3.01, 1 Bi 3.27
Bi: 0.5605 0.3971 0.8366  2 In 3.01-3.20, 1 Cd 3.01, 1 Bi 3.27
Bi: 0.5605 0.6634 0.7239  2 In 3.01-3.20, 1 Cd 3.01, 1 Bi 3.27
Bi: 0.5605 0.1634 0.2239  2 In 3.01-3.20, 1 Cd 3.01, 1 Bi 3.27
Bi: 0.5605 0.8971 0.3366  2 In 3.01-3.20, 1 Cd 3.01, 1 Bi 3.27
Bi: 0.6029 0.1634 0.4395  2 In 3.01-3.20, 1 Cd 3.01, 1 Bi 3.27
Bi: 0.6029 0.9395 0.1634  2 In 3.01-3.20, 1 Cd 3.01, 1 Bi 3.27
Bi: 0.6634 0.0605 0.7239  2 In 3.01-3.20, 1 Cd 3.01, 1 Bi 3.27
Bi: 0.6634 0.1029 0.9395  2 In 3.01-3.20, 1 Cd 3.01, 1 Bi 3.27
Bi: 0.6634 0.4395 0.1029  2 In 3.01-3.20, 1 Cd 3.01, 1 Bi 3.27
Bi: 0.6634 0.7239 0.5605  2 In 3.01-3.20, 1 Cd 3.01, 1 Bi 3.27
Bi: 0.7239 0.5605 0.6634  2 In 3.01-3.20, 1 Cd 3.01, 1 Bi 3.27
Bi: 0.7239 0.6634 0.0605  2 In 3.01-3.20, 1 Cd 3.01, 1 Bi 3.27
Bi: 0.7761 0.4395 0.8366  2 In 3.01-3.20, 1 Cd 3.01, 1 Bi 3.27
Bi: 0.7761 0.8366 0.9395  2 In 3.01-3.20, 1 Cd 3.01, 1 Bi 3.27
Bi: 0.8366 0.3971 0.0605  2 In 3.01-3.20, 1 Cd 3.01, 1 Bi 3.27
Bi: 0.8366 0.5605 0.3971  2 In 3.01-3.20, 1 Cd 3.01, 1 Bi 3.27
Bi: 0.8366 0.7761 0.4395  2 In 3.01-3.20, 1 Cd 3.01, 1 Bi 3.27
Bi: 0.8366 0.9395 0.7761  2 In 3.01-3.20, 1 Cd 3.01, 1 Bi 3.27
Bi: 0.8971 0.0605 0.3366  2 In 3.01-3.20, 1 Cd 3.01, 1 Bi 3.27
Bi: 0.8971 0.3366 0.5605  2 In 3.01-3.20, 1 Cd 3.01, 1 Bi 3.27
Bi: 0.9395 0.1634 0.6029  2 In 3.01-3.20, 1 Cd 3.01, 1 Bi 3.27
Bi: 0.9395 0.2761 0.3366  2 In 3.01-3.20, 1 Cd 3.01, 1 Bi 3.27
Bi: 0.9395 0.6634 0.1029  2 In 3.01-3.20, 1 Cd 3.01, 1 Bi 3.27
Bi: 0.9395 0.7761 0.8366  2 In 3.01-3.20, 1 Cd 3.01, 1 Bi 3.27

Summary:
* energy relative to the elements: 0.215 eV/atom
* crystal system: cubic
* calculated density: 7.32 g/cm3
* total moment: 0.00 μB per formula unit

[6]
A plane-wave DFT calculation with PBE was carried out for Ho8Mg2Hg after structural relaxation.

a b c (Å): 9.2493 9.2493 7.1618
angles (deg): 107.08 107.08 33.33
Last column: nearest neighbours and their distance in Å.
Positions (direct):
Ho: 0.0212 0.0212 0.2647  1 Mg 3.12, 2 Hg 3.23, 2 Ho 3.43
Ho: 0.1920 0.1920 0.7739  3 Mg 3.06-3.38, 1 Ho 3.41
Ho: 0.3356 0.3356 0.5479  3 Mg 3.03-3.31, 1 Hg 3.04
Ho: 0.4051 0.4051 0.0465  1 Hg 3.17, 2 Mg 3.31, 3 Ho 3.40-3.43
Ho: 0.5949 0.5949 0.9535  1 Hg 3.17, 2 Mg 3.31, 3 Ho 3.40-3.43
Ho: 0.6644 0.6644 0.4521  3 Mg 3.03-3.31, 1 Hg 3.04
Ho: 0.8080 0.8080 0.2261  3 Mg 3.06-3.38, 1 Ho 3.41
Ho: 0.9788 0.9788 0.7353  1 Mg 3.12, 2 Hg 3.23, 2 Ho 3.43
Mg: 0.1869 0.1869 0.1968  9 Ho 3.03-3.38
Mg: 0.8131 0.8131 0.8032  9 Ho 3.03-3.38
Hg: 0.5000 0.5000 0.5000  8 Ho 3.04-3.23

Summary:
* energy relative to the elements: -0.017 eV/atom
* crystal system: monoclinic
* calculated density: 8.13 g/cm3
* total moment: 0.00 μB per formula unit